No. 1
A relaxed VZnB crystal, computed with PBE-GGA.

The space group is P4/mmm (No. 123) and the conventional cell measures 2.962, 2.962 and 4.159 Å, with angles of 90.00, 90.00 and 90.00 degrees. The inequivalent atoms are V at (0.000, 0.000, 0.000), Zn at (0.500, 0.500, 0.500) and B at (0.500, 0.500, 0.000).

The calculation puts the energy above the most stable polymorph in this dataset at 389 meV per atom. The electronic total energy comes out at -5.72 eV/atom. The energy of formation comes out at -0.65 kcal/mol of atoms.


No. 2
A relaxed YEr2Tm6Sc crystal, computed with PBE-GGA.

The space group is C2/c (No. 15) and the conventional cell measures 8.893, 14.709 and 9.289 Å, with angles of 90.00, 96.99 and 90.00 degrees. The inequivalent atoms are Y at (0.000, 0.022, 0.250), Er at (0.246, 0.446, 0.453), Tm at (0.059, 0.189, 0.943), Tm at (0.103, 0.393, 0.116), Tm at (0.212, 0.222, 0.311) and Sc at (0.000, 0.413, 0.750).

The electronic total energy comes out at -4.75 eV/atom. The energy of formation comes out at 2.92 kcal/mol of atoms.


Q: Which value of energy of formation does entry 1 give?
A: -0.65 kcal/mol of atoms